VASP calculation (PBE-GGA) on crystalline AcSm2Zn6 at its relaxed geometry.

Formation energy   -0.240 eV per atom
Total magnetic moment   0.0 μB per formula unit

a b c (Å): 8.2459 8.2459 8.2459
angles (deg): 153.80 121.18 65.48
Positions (direct):
Ac: 0.0000 0.0000 0.0000
Sm: 0.3521 0.8521 0.5000
Sm: 0.6479 0.1479 0.5000
Zn: 0.0161 0.3307 0.6854
Zn: 0.3375 0.5000 0.8375
Zn: 0.3547 0.6693 0.6854
Zn: 0.6453 0.3307 0.3146
Zn: 0.6625 0.5000 0.1625
Zn: 0.9839 0.6693 0.3146

VASP calculation (PBE-GGA) on crystalline La2Zn3Ni12Sn at its relaxed geometry.

Formation energy   0.040 eV per atom
Total magnetic moment   0.0 μB per formula unit

a b c (Å): 9.2899 9.2899 9.2899
angles (deg): 39.24 39.24 39.24
Positions (direct):
La: 0.1379 0.1379 0.1379
La: 0.8621 0.8621 0.8621
Zn: 0.0000 0.5000 0.5000
Zn: 0.5000 0.0000 0.5000
Zn: 0.5000 0.5000 0.0000
Ni: 0.0381 0.6303 0.6303
Ni: 0.0835 0.0835 0.7030
Ni: 0.0835 0.7030 0.0835
Ni: 0.2970 0.9165 0.9165
Ni: 0.3697 0.3697 0.9619
Ni: 0.3697 0.9619 0.3697
Ni: 0.6303 0.0381 0.6303
Ni: 0.6303 0.6303 0.0381
Ni: 0.7030 0.0835 0.0835
Ni: 0.9165 0.2970 0.9165
Ni: 0.9165 0.9165 0.2970
Ni: 0.9619 0.3697 0.3697
Sn: 0.5000 0.5000 0.5000

VASP calculation (PBE-GGA) on crystalline Hf2GaAg at its relaxed geometry.

Formation energy   -0.172 eV per atom
Total magnetic moment   0.0 μB per formula unit

a b c (Å): 4.3492 4.3492 4.0336
angles (deg): 90.00 90.00 90.00
Positions (direct):
Hf: 0.0000 0.5000 0.0000
Hf: 0.5000 0.0000 0.0000
Ga: 0.0000 0.0000 0.5000
Ag: 0.5000 0.5000 0.5000

VASP calculation (PBE-GGA) on crystalline Tb12Y5Pu at its relaxed geometry.

Formation energy   0.037 eV per atom
Total magnetic moment   6.4 μB per formula unit

a b c (Å): 10.6669 10.6669 5.0262
angles (deg): 90.00 90.00 90.01
Positions (direct):
Tb: 0.0006 0.6685 0.5000
Tb: 0.1650 0.8350 0.0000
Tb: 0.1664 0.5009 0.0000
Tb: 0.3315 0.9994 0.5000
Tb: 0.3327 0.6673 0.5000
Tb: 0.4991 0.8336 0.0000
Tb: 0.5009 0.1664 0.0000
Tb: 0.6673 0.3327 0.5000
Tb: 0.6685 0.0006 0.5000
Tb: 0.8336 0.4991 0.0000
Tb: 0.8350 0.1650 0.0000
Tb: 0.9994 0.3315 0.5000
Y: 0.1647 0.1647 0.0000
Y: 0.3336 0.3336 0.5000
Y: 0.5000 0.5000 0.0000
Y: 0.6664 0.6664 0.5000
Y: 0.8353 0.8353 0.0000
Pu: 0.0000 0.0000 0.5000

VASP calculation (PBE-GGA) on crystalline Na3Zn2Ga4 at its relaxed geometry.

Formation energy   -0.061 eV per atom
Total magnetic moment   0.0 μB per formula unit

a b c (Å): 6.0806 6.0806 8.8366
angles (deg): 106.03 106.03 41.34
Positions (direct):
Na: 0.0000 0.0000 0.0000
Na: 0.3722 0.3722 0.6189
Na: 0.6278 0.6278 0.3811
Zn: 0.3280 0.3280 0.2315
Zn: 0.6720 0.6720 0.7685
Ga: 0.0825 0.0825 0.6337
Ga: 0.2874 0.2874 0.9184
Ga: 0.7126 0.7126 0.0816
Ga: 0.9175 0.9175 0.3663